No. 1
LiTaMn2 | PBE-GGA | optimized geometry

The space group is Pm (No. 6) and the conventional cell measures 2.6866, 3.9764 and 5.1290 Å, with angles of 90.00, 103.64 and 90.00 degrees. The inequivalent atoms are Li at (0.0000, 0.0000, 0.0000), Ta at (0.2993, 0.5000, 0.7293), Mn at (0.6115, 0.0000, 0.4467) and Mn at (0.8116, 0.5000, 0.2439).

The total energy comes out at -7.722 eV per atom. The calculation puts the calculated density at 9.29 g cm⁻³. As for the formation energy from the elements: 304 meV/atom.

***

No. 2
BaMgRh2 | PBE-GGA | optimized geometry

The space group is F-43m (No. 216) and the conventional cell measures 6.9629, 6.9629 and 6.9629 Å, with angles of 90.00, 90.00 and 90.00 degrees. The inequivalent atoms are Ba at (0.0000, 0.0000, 0.0000), Mg at (0.2500, 0.2500, 0.2500), Rh at (0.0000, 0.0000, 0.5000) and Rh at (0.2500, 0.2500, 0.7500).

The total energy comes out at -4.248 eV per atom. The calculation puts the calculated density at 7.23 g cm⁻³. As for the formation energy from the elements: 307 meV/atom.